Entry 1:
Entry from Alexandria: Cs3TlHg2Br9 after structural relaxation (PBE-GGA).

a = 8.1008 Å, b = 8.1008 Å, c = 9.9181 Å
α = 90.00°, β = 90.00°, γ = 120.00°
Closest atoms and distances in Å follow each position.
Space group P-3m1 (No. 164)
Symmetry-distinct sites (fractional):
Cs: 0.0000 0.0000 0.0000 x1  12 Br 4.05-4.06
Cs: 0.3333 0.6667 0.6701 x2  12 Br 4.02-4.07
Tl: 0.0000 0.0000 0.5000 x1  6 Br 2.91
Hg: 0.3333 0.6667 0.1621 x2  6 Br 2.84-2.85
Br: 0.0000 0.5000 0.0000 x3  2 Hg 2.84
Br: 0.1696 0.3392 0.3318 x6  1 Hg 2.85, 1 Tl 2.91

Computed properties:
Formation energy from raw total energies in eV per atom: -1.029
Calculated volume in Å³/cell: 564
Final energy in eV per atom: -2.402

Entry 2:
Entry from Alexandria: Cs2TlHgBr4 after structural relaxation (PBE-GGA).

a = 5.7099 Å, b = 17.1639 Å, c = 31.0218 Å
α = 90.00°, β = 90.00°, γ = 90.00°
Closest atoms and distances in Å follow each position.
Space group Fddd (No. 70, origin choice 2)
Symmetry-distinct sites (fractional):
Cs: 0.1250 0.1250 0.2859 x16  6 Br 3.68-3.83
Tl: 0.1250 0.1250 0.1250 x8  2 Hg 2.85, 4 Br 3.13
Hg: 0.1250 0.1250 0.6250 x8  2 Tl 2.85
Br: 0.1109 0.2593 0.4398 x32  1 Tl 3.13, 1 Hg 3.20

Computed properties:
Formation energy from raw total energies in eV per atom: -1.036
Calculated volume in Å³/cell: 3040
Final energy in eV per atom: -2.419

Entry 3:
Entry from Alexandria: Cs2TmHgBr6 after structural relaxation (PBE-GGA).

a = 8.2653 Å, b = 11.6722 Å, c = 8.2632 Å
α = 90.00°, β = 90.00°, γ = 90.00°
Closest atoms and distances in Å follow each position.
Space group Pmmn (No. 59, origin choice 2)
Symmetry-distinct sites (fractional):
Cs: 0.2500 0.0000 0.2494 x4  12 Br 4.12-4.15
Tm: 0.2500 0.2500 0.7516 x2  6 Br 2.76-2.77
Hg: 0.2500 0.7500 0.7482 x2  6 Br 3.07-3.08
Br: 0.0133 0.2500 0.5151 x4  1 Tm 2.77, 1 Hg 3.08
Br: 0.0137 0.2500 0.9883 x4  1 Tm 2.76, 1 Hg 3.08
Br: 0.2500 0.0131 0.7513 x4  1 Tm 2.76, 1 Hg 3.07

Computed properties:
Formation energy from raw total energies in eV per atom: -1.499
Calculated volume in Å³/cell: 797
Final energy in eV per atom: -3.151

Entry 4:
Entry from Alexandria: Cs2UHg2Br4 after structural relaxation (PBE-GGA).

a = 8.8631 Å, b = 8.8631 Å, c = 9.5274 Å
α = 90.00°, β = 90.00°, γ = 90.00°
Closest atoms and distances in Å follow each position.
Space group I4/mmm (No. 139)
Symmetry-distinct sites (fractional):
Cs: 0.0000 0.5000 0.2500 x4  8 Br 3.94
U: 0.0000 0.0000 0.0000 x2  4 Br 2.88
Hg: 0.0000 0.0000 0.3435 x4  1 Hg 2.98, 1 U 3.27
Br: 0.2300 0.2300 0.0000 x8  1 U 2.88

Computed properties:
Formation energy from raw total energies in eV per atom: -1.038
Calculated volume in Å³/cell: 748
Final energy in eV per atom: -3.292

- Which formula does entry 4 have?
  Cs2UHg2Br4

- Among the records above, which one has the lowest final energy?
  Cs2UHg2Br4